A geometry-optimized Tb2YS2 structure, computed with PBE.

```
Tb2YS2
1.0
3.740 0.000 -1.077
-0.516 5.146 -1.791
-0.105 -0.599 6.670
Tb S Y
2 2 1
Direct
0.670 0.670 0.339
0.330 0.330 0.661
0.334 0.834 0.668
0.666 0.166 0.332
0.000 0.000 0.000
```

Results
- SG: Immm
- Density of states at the Fermi level: 3.28 states/eV/cell
- DFT total energy: -6.3681 eV/atom
- Theoretical density: 6.33 g cm⁻³
- Formation energy without anion corrections: -1572 meV/atom

A geometry-optimized Tb3Y4S8 structure, computed with PBE.

```
Tb3Y4S8
1.0
7.825 -0.109 -0.156
-3.816 6.834 0.128
-3.816 -2.253 6.454
Y S Tb
4 8 3
Direct
0.000 0.000 0.000
0.000 0.500 0.000
0.500 0.000 0.000
0.000 0.000 0.500
0.500 0.750 0.250
0.000 0.750 0.250
0.501 0.250 0.250
0.001 0.750 0.750
0.000 0.250 0.750
0.499 0.750 0.750
0.500 0.250 0.750
0.999 0.250 0.250
0.500 0.500 0.000
0.500 0.000 0.500
0.500 0.500 0.500
```

Results
- SG: C2/m
- Density of states at the Fermi level: 6.38 states/eV/cell
- DFT total energy: -6.9099 eV/atom
- Theoretical density: 5.33 g cm⁻³
- Formation energy without anion corrections: -2059 meV/atom

A geometry-optimized Tb3Y2S4 structure, computed with PBE.

```
Tb3Y2S4
1.0
-3.822 0.196 0.610
1.957 -3.200 0.975
2.630 6.052 14.569
S Tb Y
4 3 2
Direct
0.667 0.333 0.103
0.333 0.667 0.897
0.000 0.000 0.695
0.000 0.000 0.305
0.000 0.000 0.000
0.666 0.334 0.409
0.334 0.666 0.591
0.667 0.333 0.795
0.333 0.667 0.205
```

Results
- SG: P-3m1
- Density of states at the Fermi level: 6.19 states/eV/cell
- DFT total energy: -6.5766 eV/atom
- Theoretical density: 6.25 g cm⁻³
- Formation energy without anion corrections: -1762 meV/atom

A geometry-optimized Tb5YS6 structure, computed with PBE.

```
Tb5YS6
1.0
6.709 0.174 1.025
1.659 5.694 3.321
0.116 0.052 6.808
S Y Tb
6 1 5
Direct
0.250 0.584 0.333
0.750 0.083 0.333
0.750 0.750 0.000
0.750 0.416 0.667
0.250 0.917 0.667
0.250 0.250 0.000
0.000 0.000 0.000
0.000 0.667 0.666
0.500 0.833 0.334
0.000 0.333 0.334
0.500 0.500 0.000
0.500 0.167 0.666
```

Results
- SG: C2/m
- Density of states at the Fermi level: 4.28 states/eV/cell
- DFT total energy: -6.5424 eV/atom
- Theoretical density: 6.97 g cm⁻³
- Formation energy without anion corrections: -2011 meV/atom

A geometry-optimized Tb2Y2S3 structure, computed with PBE.

```
Tb2Y2S3
1.0
3.737 0.000 -1.030
-0.535 6.418 -1.942
-0.172 0.798 6.672
S Y Tb
3 2 2
Direct
0.000 0.000 0.000
0.748 0.248 0.496
0.252 0.752 0.504
0.626 0.876 0.253
0.374 0.124 0.747
0.875 0.623 0.749
0.125 0.377 0.251
```

Results
- SG: C2/m
- Density of states at the Fermi level: 3.43 states/eV/cell
- DFT total energy: -6.6588 eV/atom
- Theoretical density: 5.95 g cm⁻³
- Formation energy without anion corrections: -1720 meV/atom

A geometry-optimized TbYS structure, computed with PBE.

```
TbYS
1.0
-1.129 1.522 3.321
-4.456 -4.881 0.723
8.477 -6.847 6.021
Y Tb S
4 4 4
Direct
0.250 0.918 0.251
0.250 0.582 0.751
0.750 0.082 0.749
0.750 0.418 0.249
0.750 0.744 0.003
0.750 0.756 0.503
0.250 0.256 0.997
0.250 0.244 0.497
0.250 0.585 0.376
0.750 0.085 0.124
0.250 0.915 0.876
0.750 0.415 0.624
```

Results
- SG: Pnma
- Density of states at the Fermi level: 9.05 states/eV/cell
- E above lowest polymorph: 16 meV per atom
- DFT total energy: -6.3556 eV/atom
- Theoretical density: 5.88 g cm⁻³
- Formation energy without anion corrections: -1282 meV/atom